Material: FeCo2NiTe
Method: DFT, GGA-PBE
State: relaxed

POSCAR file:
```
FeCo2NiTe
1.0
4.5804 0.0000 0.0000
0.0000 4.5804 0.0000
0.0000 0.0000 4.7101
Fe Co Ni Te
1 2 1 1
direct
0.0000 0.0000 0.0000
0.0000 0.5000 0.5000
0.5000 0.0000 0.5000
0.5000 0.5000 0.0000
0.0000 0.0000 0.5000
```

Mass density   6.0 Mg/m³
Symmetry   P4/mmm (123)
VASP energy   -24.5 eV/cell
Total moment   6.0 Bohr magnetons per cell
Formation energy (no corrections)   1.426 eV per atom
DOS(E_F)   2.271 states/eV per atom